Record 1
CsTmTe3Pd (GGA-PBE, relaxed); distance to the lowest polymorph of the same formula = 20.0 meV per atom; theoretical density = 6.0 g cm⁻³
1.0
10.2461 0.0000 0.0000
0.0000 4.3353 0.0000
-5.0366 0.0000 9.7823
Cs Te Pd Tm
2 6 2 2
Cartesian
-1.3849 3.2514 7.4088 Cs
6.5945 1.0838 2.3735 Cs
1.6103 1.0838 6.5085 Te
1.7685 1.0838 0.3441 Te
3.4410 3.2514 9.4382 Te
5.9274 1.0838 6.2263 Te
3.5993 3.2514 3.2738 Te
-0.7179 3.2514 3.5561 Te
0.4605 3.2514 1.1296 Pd
4.7491 1.0838 8.6527 Pd
1.4207 1.0838 3.5036 Tm
3.7888 3.2514 6.2787 Tm

---

Record 2
CsTmTe3Pd (GGA-PBE, relaxed); distance to the lowest polymorph of the same formula = 0.0 meV per atom; theoretical density = 6.3 g cm⁻³
1.0
-8.3090 -2.2274 -4.2290
8.1470 -2.1524 4.5692
-4.8036 0.8751 8.9772
Cs Tm Te Pd
2 2 6 2
Cartesian
-7.8298 -1.5524 4.6863 Cs
2.8642 -1.9522 4.6311 Cs
0.0000 0.0000 0.0000 Tm
-2.4018 0.4376 4.4886 Tm
-3.8710 -1.8291 3.0099 Te
-8.0717 -2.0020 -1.2157 Te
-2.7420 -1.3754 9.3863 Te
3.1061 -1.5026 10.5332 Te
-2.2237 -2.1292 -0.0688 Te
-1.0946 -1.6756 6.3076 Te
-3.6764 -1.5335 6.9069 Pd
-1.2892 -1.9711 2.4105 Pd

---

Record 3
CsZnTe3Pd (GGA-PBE, relaxed); theoretical density = 5.7 g cm⁻³; E_tot = -3.288 eV per atom
1.0
2.1241 -8.1580 0.0000
2.1241 8.1580 0.0000
0.0000 0.0000 11.6034
Te Pd Cs Zn
6 2 2 2
Cartesian
2.1241 1.6946 5.3840 Te
2.1241 -1.6946 6.2195 Te
2.1241 7.2806 2.9009 Te
2.1241 -7.2806 8.7026 Te
2.1241 1.6946 0.4178 Te
2.1241 -1.6946 11.1857 Te
0.0000 0.0000 5.8017 Pd
0.0000 0.0000 0.0000 Pd
2.1241 -4.1237 2.9009 Cs
2.1241 4.1237 8.7026 Cs
2.1241 -0.6841 8.7026 Zn
2.1241 0.6841 2.9009 Zn

---

Record 4
CsZrTe3Pd (GGA-PBE, relaxed); theoretical density = 5.9 g cm⁻³; E_tot = -4.866 eV per atom
1.0
9.9152 0.0000 0.0000
0.0000 4.1019 0.0000
-4.9474 0.0000 9.8711
Te Pd Cs Zr
6 2 2 2
Cartesian
5.7411 1.0255 3.6276 Te
3.0239 3.0764 0.4921 Te
1.5827 1.0255 3.5936 Te
-0.7733 3.0764 6.2435 Te
1.9439 1.0255 9.3790 Te
3.3851 3.0764 6.2775 Te
0.3071 3.0764 8.7510 Pd
4.6607 1.0255 1.1202 Pd
-3.6463 1.0255 7.5915 Cs
8.6141 3.0764 2.2796 Cs
1.2446 1.0255 6.5960 Zr
3.7232 3.0764 3.2751 Zr

---

Record 5
CsZrTe3Pd (GGA-PBE, relaxed); theoretical density = 5.9 g cm⁻³; E_tot = -4.869 eV per atom
1.0
17.7666 0.0000 0.0000
0.0000 4.1067 0.0000
0.0000 0.0000 11.0819
Zr Te Cs Pd
4 12 4 4
Cartesian
17.4290 1.0267 7.5844 Zr
8.5457 1.0267 9.0385 Zr
0.3376 3.0800 3.4975 Zr
9.2208 3.0800 2.0434 Zr
1.4154 3.0800 6.3357 Te
11.1890 1.0267 2.6455 Te
6.5776 3.0800 8.4364 Te
1.5079 1.0267 9.7819 Te
10.3911 1.0267 6.8410 Te
2.3057 1.0267 2.8955 Te
10.2987 3.0800 10.2871 Te
15.4608 3.0800 8.1864 Te
16.3512 1.0267 4.7462 Te
7.4679 1.0267 0.7948 Te
7.3754 3.0800 4.2409 Te
16.2587 3.0800 1.3000 Te
13.1807 3.0800 5.0979 Cs
4.2975 3.0800 0.4431 Cs
4.5858 1.0267 5.9840 Cs
13.4691 1.0267 10.6388 Cs
17.5430 3.0800 9.9458 Pd
0.2235 1.0267 1.1361 Pd
8.6597 3.0800 6.6770 Pd
9.1068 1.0267 4.4049 Pd

---

Record 6
CsTl2Pd2 (GGA-PBE, relaxed); theoretical density = 8.4 g cm⁻³; E_tot = -3.349 eV per atom
1.0
-2.0169 2.0169 9.2170
2.0169 -2.0169 9.2170
2.0169 2.0169 -9.2170
Pd Cs Tl
2 1 2
Cartesian
0.0000 2.0169 4.6085 Pd
2.0169 0.0000 4.6085 Pd
0.0000 0.0000 0.0000 Cs
0.0000 0.0000 6.5518 Tl
0.0000 0.0000 11.8822 Tl